Entry 1:
Compound: CoCuNiB
Source: OQMD
Functional: PBE
Structure: relaxed

Unit cell a=5.380 b=5.380 c=5.380 alpha=90.00 beta=90.00 gamma=90.00
Space group F-43m (No. 216)
One atom of each set of equivalent atoms:
Co 0.000 0.000 0.000
Cu 0.000 0.000 0.500
Ni 0.250 0.250 0.250
B 0.250 0.250 0.750

Computed properties:
ΔE to the lowest computed polymorph	116	meV/atom
magnetization	0.022	μB/f.u.
electronic total energy	-5.442	eV/atom
mass density	8.2	g/cm3

---

Entry 2:
Compound: CsAg2
Source: OQMD
Functional: PBE
Structure: relaxed

Unit cell a=8.741 b=8.741 c=8.741 alpha=90.00 beta=90.00 gamma=90.00
Space group Fd-3m (No. 227, origin choice 2)
One atom of each set of equivalent atoms:
Cs 0.125 0.125 0.125
Ag 0.000 0.000 0.500

Computed properties:
electronic total energy	-1.988	eV/atom
mass density	6.9	g/cm3

---

Entry 3:
Compound: GaAu15
Source: OQMD
Functional: PBE
Structure: relaxed

Unit cell a=5.775 b=4.182 c=37.750 alpha=90.00 beta=90.09 gamma=90.00
Space group P2_1/m (No. 11)
One atom of each set of equivalent atoms:
Ga 0.124 0.250 0.291
Au 0.121 0.250 0.739
Au 0.124 0.250 0.822
Au 0.125 0.250 0.059
Au 0.125 0.250 0.138
Au 0.125 0.250 0.217
Au 0.125 0.250 0.901
Au 0.125 0.250 0.980
Au 0.371 0.750 0.261
Au 0.374 0.750 0.178
Au 0.375 0.750 0.020
Au 0.375 0.750 0.099
Au 0.375 0.750 0.707
Au 0.375 0.750 0.784
Au 0.375 0.750 0.862
Au 0.375 0.750 0.941

Computed properties:
ΔE to the lowest computed polymorph	11	meV/atom
electronic total energy	-3.215	eV/atom
mass density	11.0	g/cm3

---

Entry 4:
Compound: ErBeAs
Source: OQMD
Functional: PBE
Structure: relaxed

Unit cell a=6.478 b=6.478 c=6.478 alpha=90.00 beta=90.00 gamma=90.00
Space group F-43m (No. 216)
One atom of each set of equivalent atoms:
Er 0.000 0.000 0.000
Be 0.250 0.250 0.250
As 0.250 0.250 0.750

Computed properties:
magnetization	0.000	μB/f.u.
electronic total energy	-4.280	eV/atom
mass density	6.1	g/cm3

---

Entry 5:
Compound: YCuReTc
Source: OQMD
Functional: PBE
Structure: relaxed

Unit cell a=6.422 b=6.422 c=6.422 alpha=90.00 beta=90.00 gamma=90.00
Space group F-43m (No. 216)
One atom of each set of equivalent atoms:
Y 0.000 0.000 0.000
Cu 0.250 0.250 0.250
Re 0.000 0.000 0.500
Tc 0.250 0.250 0.750

Computed properties:
ΔE to the lowest computed polymorph	0	meV/atom
magnetization	0.002	μB/f.u.
electronic total energy	-8.007	eV/atom
mass density	11.0	g/cm3
E_form	0.234	eV/atom

---

Entry 6:
Compound: PuPaAu
Source: OQMD
Functional: PBE
Structure: relaxed

Unit cell a=6.663 b=6.663 c=6.663 alpha=90.00 beta=90.00 gamma=90.00
Space group F-43m (No. 216)
One atom of each set of equivalent atoms:
Pu 0.000 0.000 0.000
Pa 0.250 0.250 0.250
Au 0.250 0.250 0.750

Computed properties:
ΔE to the lowest computed polymorph	0	meV/atom
magnetization	6.221	μB/f.u.
electronic total energy	-8.951	eV/atom
mass density	15.1	g/cm3
E_form	0.012	eV/atom

---

Entry 7:
Compound: HfAlCoAu
Source: OQMD
Functional: PBE
Structure: relaxed

Unit cell a=6.362 b=6.362 c=6.362 alpha=90.00 beta=90.00 gamma=90.00
Space group F-43m (No. 216)
One atom of each set of equivalent atoms:
Hf 0.000 0.000 0.000
Al 0.000 0.000 0.500
Co 0.250 0.250 0.750
Au 0.250 0.250 0.250

Computed properties:
ΔE to the lowest computed polymorph	0	meV/atom
magnetization	0.970	μB/f.u.
electronic total energy	-6.414	eV/atom
mass density	11.9	g/cm3

---

Entry 8:
Compound: NaHoMg
Source: OQMD
Functional: PBE
Structure: relaxed

Unit cell a=7.492 b=7.492 c=7.492 alpha=90.00 beta=90.00 gamma=90.00
Space group F-43m (No. 216)
One atom of each set of equivalent atoms:
Na 0.000 0.000 0.000
Ho 0.250 0.250 0.750
Mg 0.000 0.000 0.500

Computed properties:
ΔE to the lowest computed polymorph	190	meV/atom
magnetization	0.312	μB/f.u.
electronic total energy	-1.725	eV/atom
mass density	3.4	g/cm3

---

Q: The lowest electronic total energy belongs to which entry?
A: PuPaAu